VASP calculation (PBE-GGA) on an optimized crystal structure of IrAuSe2N.

abc: 5.1829 5.1829 3.6610
angles: 90.00 90.00 90.00
With the nearest neighbours (Å) after each atom.
Element x y z (fractional)
Ir: 0.0000 0.0000 0.0000  8 Se 3.17
Au: 0.5000 0.5000 0.5000  2 N 1.83
Se: 0.0000 0.5000 0.5000  2 Au 2.59
Se: 0.5000 0.0000 0.5000  2 Au 2.59
N: 0.5000 0.5000 0.0000  2 Au 1.83

Output
Uncorrected formation energy in kJ/mol of atoms: 157

VASP calculation (PBE-GGA) on an optimized crystal structure of Tm4Bi5Te.

abc: 9.4772 9.4772 8.2340
angles: 101.94 101.94 27.03
With the nearest neighbours (Å) after each atom.
Element x y z (fractional)
Tm: 0.0468 0.0468 0.2637  4 Bi 3.03-3.25, 2 Te 3.09
Tm: 0.3424 0.3424 0.0587  1 Te 3.04, 5 Bi 3.09-3.21
Tm: 0.6576 0.6576 0.9413  1 Te 3.04, 5 Bi 3.09-3.21
Tm: 0.9532 0.9532 0.7363  4 Bi 3.03-3.25, 2 Te 3.09
Bi: 0.1315 0.1315 0.6526  4 Tm 3.21-3.50, 2 Bi 3.33
Bi: 0.2055 0.2055 0.2190  4 Tm 3.03-3.17
Bi: 0.5000 0.5000 0.5000  4 Tm 3.19, 4 Bi 3.33
Bi: 0.7945 0.7945 0.7810  4 Tm 3.03-3.17
Bi: 0.8685 0.8685 0.3474  4 Tm 3.21-3.50, 2 Bi 3.33
Te: 0.5000 0.5000 0.0000  6 Tm 3.04-3.09

Output
Uncorrected formation energy in kJ/mol of atoms: -56

VASP calculation (PBE-GGA) on an optimized crystal structure of La2GaReW.

abc: 5.6254 5.6254 4.7288
angles: 90.00 90.00 90.00
With the nearest neighbours (Å) after each atom.
Element x y z (fractional)
La: 0.0000 0.5000 0.0000  2 W 2.81
La: 0.5000 0.0000 0.0000  2 W 2.81
Ga: 0.0000 0.0000 0.5000  8 La 3.67, 4 Re 3.98
Re: 0.5000 0.5000 0.5000  2 W 2.36
W: 0.5000 0.5000 0.0000  2 Re 2.36

Output
Final energy in eV/cell: -34.06

VASP calculation (PBE-GGA) on an optimized crystal structure of LaInCu10.

abc: 4.1308 5.0195 8.7126
angles: 90.00 90.00 90.00
With the nearest neighbours (Å) after each atom.
Element x y z (fractional)
La: 0.0000 0.0000 0.0000  18 Cu 2.98-3.28
In: 0.0000 0.5000 0.5000  6 Cu 2.75-2.85
Cu: 0.0000 0.0000 0.3462  7 Cu 2.46-2.68
Cu: 0.0000 0.0000 0.6538  7 Cu 2.46-2.68
Cu: 0.0000 0.5000 0.1847  6 Cu 2.49-2.62, 1 In 2.75
Cu: 0.0000 0.5000 0.8153  6 Cu 2.49-2.62, 1 In 2.75
Cu: 0.5000 0.0000 0.5000  8 Cu 2.46-2.48
Cu: 0.5000 0.2497 0.2538  8 Cu 2.48-2.55
Cu: 0.5000 0.2497 0.7462  8 Cu 2.48-2.55
Cu: 0.5000 0.5000 0.0000  8 Cu 2.54-2.62
Cu: 0.5000 0.7503 0.2538  8 Cu 2.48-2.55
Cu: 0.5000 0.7503 0.7462  8 Cu 2.48-2.55

Output
Final energy in eV/cell: -49.32

VASP calculation (PBE-GGA) on an optimized crystal structure of Fe2Pt3Rh4.

abc: 4.7080 4.7361 6.6557
angles: 89.53 89.20 60.32
With the nearest neighbours (Å) after each atom.
Element x y z (fractional)
Fe: 0.1697 0.0012 0.1672  5 Pt 2.67-2.78, 6 Rh 2.67-2.75, 1 Fe 2.76
Fe: 0.8303 0.9988 0.8328  5 Pt 2.67-2.78, 6 Rh 2.67-2.75, 1 Fe 2.76
Pt: 0.4906 0.6736 0.8380  4 Fe 2.67-2.78, 2 Pt 2.68-2.73, 6 Rh 2.71-2.78
Pt: 0.5000 0.0000 0.5000  8 Rh 2.71-2.76, 2 Fe 2.72, 2 Pt 2.73
Pt: 0.5094 0.3264 0.1620  4 Fe 2.67-2.78, 2 Pt 2.68-2.73, 6 Rh 2.71-2.78
Rh: 0.1572 0.3322 0.8373  3 Rh 2.65-2.75, 4 Fe 2.67-2.75, 5 Pt 2.71-2.75
Rh: 0.1624 0.6702 0.5002  2 Fe 2.70-2.71, 5 Pt 2.71-2.78, 5 Rh 2.71-2.76
Rh: 0.8376 0.3298 0.4998  2 Fe 2.70-2.71, 5 Pt 2.71-2.78, 5 Rh 2.71-2.76
Rh: 0.8428 0.6678 0.1627  3 Rh 2.65-2.75, 4 Fe 2.67-2.75, 5 Pt 2.71-2.75

Output
Final energy in eV/cell: -65.28

VASP calculation (PBE-GGA) on an optimized crystal structure of MoW2Se.

abc: 8.5678 8.5678 8.5678
angles: 20.51 20.51 20.51
With the nearest neighbours (Å) after each atom.
Element x y z (fractional)
Mo: 0.0000 0.0000 0.0000  3 W 2.60
W: 0.2575 0.2575 0.2575  3 Mo 2.60, 3 W 2.84
W: 0.5024 0.5024 0.5024  3 Se 2.60, 3 W 2.84
Se: 0.7596 0.7596 0.7596  3 W 2.60

Output
Uncorrected formation energy in kJ/mol of atoms: 37

VASP calculation (PBE-GGA) on an optimized crystal structure of Li6AgHg2.

abc: 7.8568 7.8568 3.0689
angles: 90.00 90.00 120.00
With the nearest neighbours (Å) after each atom.
Element x y z (fractional)
Li: 0.0000 0.3751 0.0000  4 Hg 2.91, 1 Ag 2.95, 8 Li 3.07-3.09
Li: 0.0000 0.7160 0.5000  2 Ag 2.71, 2 Hg 2.83
Li: 0.2840 0.2840 0.5000  2 Ag 2.71, 2 Hg 2.83
Li: 0.3751 0.0000 0.0000  4 Hg 2.91, 1 Ag 2.95, 8 Li 3.07-3.09
Li: 0.6249 0.6249 0.0000  4 Hg 2.91, 1 Ag 2.95, 8 Li 3.07-3.09
Li: 0.7160 0.0000 0.5000  2 Ag 2.71, 2 Hg 2.83
Ag: 0.0000 0.0000 0.0000  9 Li 2.71-2.95
Hg: 0.3333 0.6667 0.5000  9 Li 2.83-2.91, 2 Hg 3.07
Hg: 0.6667 0.3333 0.5000  9 Li 2.83-2.91, 2 Hg 3.07

Output
Final energy in eV/cell: -17.10

VASP calculation (PBE-GGA) on an optimized crystal structure of CrP2Ir.

abc: 7.4972 7.4972 7.4972
angles: 21.83 21.83 21.83
With the nearest neighbours (Å) after each atom.
Element x y z (fractional)
Cr: 0.0000 0.0000 0.0000  6 P 2.37
P: 0.2554 0.2554 0.2554  3 Cr 2.37, 3 Ir 2.55
P: 0.7446 0.7446 0.7446  3 Cr 2.37, 3 Ir 2.55
Ir: 0.5000 0.5000 0.5000  6 P 2.55, 6 Ir 2.84

Output
Final energy in eV/cell: -29.72